# K3Nb6VO19 | Alexandria | PBE+U | optimized geometry
# Energy = -944.90 eV for the cell shown
# Fermi-level density of states = 0.00 states/eV/f.u.
data_K3Nb6VO19
_symmetry_space_group_name_H-M 'P -6 2 m'
_symmetry_Int_Tables_number 189
_symmetry_space_group_name_Hall 'P -6 -2'
_cell_length_a 9.2794
_cell_length_b 9.2794
_cell_length_c 24.4977
_cell_angle_alpha 90.00
_cell_angle_beta 90.00
_cell_angle_gamma 120.00
loop_
_atom_site_label
_atom_site_type_symbol
_atom_site_fract_x
_atom_site_fract_y
_atom_site_fract_z
_atom_site_occupancy
K1 K 0.0000 0.4061 0.2401 1
K2 K 0.0000 0.5834 0.0000 1
K3 K 0.0000 0.5968 0.5000 1
Nb1 Nb 0.0000 0.0000 0.1982 1
Nb2 Nb 0.0000 0.2325 0.0782 1
Nb3 Nb 0.0000 0.2535 0.4222 1
Nb4 Nb 0.0000 0.7585 0.3257 1
Nb5 Nb 0.3333 0.6667 0.3680 1
V1 V 0.3333 0.6667 0.1187 1
O1 O 0.0000 0.1777 0.1585 1
O2 O 0.0000 0.2099 0.5000 1
O3 O 0.0000 0.2111 0.3385 1
O4 O 0.0000 0.2854 0.0000 1
O5 O 0.0000 0.8052 0.4094 1
O6 O 0.0000 0.8232 0.2540 1
O7 O 0.0000 0.8251 0.0671 1
O8 O 0.1654 0.6836 0.3242 1
O9 O 0.1709 0.4820 0.4204 1
O10 O 0.1745 0.4758 0.0924 1
O11 O 0.3333 0.6667 0.1869 1